No. 1
Dy3Y4In4: optimized geometry, PBE.

Density of states at the Fermi level   12.55 states/eV per cell
E_tot   -4.917 eV/atom
V   29.50 Å³ per atom
SG   Immm
Crystal system   orthorhombic

Cell: 10.6229 10.6229 10.6229 Å, 160.18 126.74 57.39°
Element x y z (fractional)
Dy: 0.0000 0.0000 0.0000
Dy: 0.4033 0.9033 0.5000
Dy: 0.5967 0.0967 0.5000
Y: 0.0263 0.3361 0.6902
Y: 0.3540 0.6639 0.6902
Y: 0.6460 0.3361 0.3098
Y: 0.9737 0.6639 0.3098
In: 0.2674 0.2674 0.0000
In: 0.2803 0.5000 0.7803
In: 0.7197 0.5000 0.2197
In: 0.7326 0.7326 0.0000


No. 2
Dy6YIn: optimized geometry, PBE.

Density of states at the Fermi level   9.07 states/eV per cell
E_tot   -4.716 eV/atom
V   30.09 Å³ per atom
SG   P4/mmm
Crystal system   tetragonal

Cell: 4.8995 4.8995 10.0295 Å, 90.00 90.00 90.00°
Element x y z (fractional)
Dy: 0.0000 0.0000 0.0000
Dy: 0.0000 0.0000 0.5000
Dy: 0.0000 0.5000 0.2436
Dy: 0.0000 0.5000 0.7564
Dy: 0.5000 0.0000 0.2436
Dy: 0.5000 0.0000 0.7564
Y: 0.5000 0.5000 0.5000
In: 0.5000 0.5000 0.0000


No. 3
Dy9YIn2: optimized geometry, PBE.

Density of states at the Fermi level   14.16 states/eV per cell
E_tot   -4.612 eV/atom
V   29.51 Å³ per atom
SG   P4/mmm
Crystal system   tetragonal

Cell: 4.8703 4.8703 14.9317 Å, 90.00 90.00 90.00°
Element x y z (fractional)
Dy: 0.0000 0.0000 0.0000
Dy: 0.0000 0.0000 0.3375
Dy: 0.0000 0.0000 0.6625
Dy: 0.0000 0.5000 0.1731
Dy: 0.0000 0.5000 0.5000
Dy: 0.0000 0.5000 0.8269
Dy: 0.5000 0.0000 0.1731
Dy: 0.5000 0.0000 0.5000
Dy: 0.5000 0.0000 0.8269
Y: 0.5000 0.5000 0.0000
In: 0.5000 0.5000 0.3395
In: 0.5000 0.5000 0.6605


No. 4
Dy2YIn3: optimized geometry, PBE.

Density of states at the Fermi level   3.48 states/eV per cell
E_tot   -4.458 eV/atom
V   26.52 Å³ per atom
SG   P4/mmm
Crystal system   tetragonal

Cell: 3.5556 3.5556 12.5871 Å, 90.00 90.00 90.00°
Element x y z (fractional)
Dy: 0.0000 0.0000 0.1664
Dy: 0.0000 0.0000 0.8336
Y: 0.0000 0.0000 0.5000
In: 0.5000 0.5000 0.0000
In: 0.5000 0.5000 0.3329
In: 0.5000 0.5000 0.6671


Copy entry 2 word for word.
Dy6YIn: optimized geometry, PBE.

Density of states at the Fermi level   9.07 states/eV per cell
E_tot   -4.716 eV/atom
V   30.09 Å³ per atom
SG   P4/mmm
Crystal system   tetragonal

Cell: 4.8995 4.8995 10.0295 Å, 90.00 90.00 90.00°
Element x y z (fractional)
Dy: 0.0000 0.0000 0.0000
Dy: 0.0000 0.0000 0.5000
Dy: 0.0000 0.5000 0.2436
Dy: 0.0000 0.5000 0.7564
Dy: 0.5000 0.0000 0.2436
Dy: 0.5000 0.0000 0.7564
Y: 0.5000 0.5000 0.5000
In: 0.5000 0.5000 0.0000


Copy entry 2 word for word.
Dy6YIn: optimized geometry, PBE.

Density of states at the Fermi level   9.07 states/eV per cell
E_tot   -4.716 eV/atom
V   30.09 Å³ per atom
SG   P4/mmm
Crystal system   tetragonal

Cell: 4.8995 4.8995 10.0295 Å, 90.00 90.00 90.00°
Element x y z (fractional)
Dy: 0.0000 0.0000 0.0000
Dy: 0.0000 0.0000 0.5000
Dy: 0.0000 0.5000 0.2436
Dy: 0.0000 0.5000 0.7564
Dy: 0.5000 0.0000 0.2436
Dy: 0.5000 0.0000 0.7564
Y: 0.5000 0.5000 0.5000
In: 0.5000 0.5000 0.0000


V of number 4 (Dy2YIn3)?
26.52 Å³ per atom